Zr3ScCl: relaxed, PBE.

energy = -6.914 eV/atom
crystal system = cubic
density of states at the Fermi level = 8.33 states/eV per cell
E above lowest polymorph = 0.0000 eV/atom

Lattice parameters (Å, degrees): 4.8620 4.8620 4.8620 90.00 90.00 90.00
Closest atoms and distances in Å follow each position.
Fractional positions:
Zr: 0.0000 0.0000 0.5000  2 Cl 2.43
Zr: 0.0000 0.5000 0.0000  2 Cl 2.43
Zr: 0.5000 0.0000 0.0000  2 Cl 2.43
Sc: 0.5000 0.5000 0.5000  12 Zr 3.44
Cl: 0.0000 0.0000 0.0000  6 Zr 2.43

***

Zr2ScCl: relaxed, PBE.

energy = -6.795 eV/atom
crystal system = trigonal
density of states at the Fermi level = 16.58 states/eV per cell
E above lowest polymorph = 0.0000 eV/atom

Lattice parameters (Å, degrees): 3.3283 3.3283 27.3484 90.00 90.00 120.00
Closest atoms and distances in Å follow each position.
Fractional positions:
Zr: 0.0000 0.0000 0.0000  3 Cl 2.82, 3 Zr 3.14
Zr: 0.0000 0.0000 0.2424  3 Sc 3.12, 9 Zr 3.14-3.33
Zr: 0.3333 0.6667 0.6667  3 Cl 2.82, 3 Zr 3.14
Zr: 0.3333 0.6667 0.9091  3 Sc 3.12, 9 Zr 3.14-3.33
Zr: 0.6667 0.3333 0.3333  3 Cl 2.82, 3 Zr 3.14
Zr: 0.6667 0.3333 0.5757  3 Sc 3.12, 9 Zr 3.14-3.33
Sc: 0.0000 0.0000 0.4860  3 Cl 2.86, 3 Zr 3.12
Sc: 0.3333 0.6667 0.1527  3 Cl 2.86, 3 Zr 3.12
Sc: 0.6667 0.3333 0.8194  3 Cl 2.86, 3 Zr 3.12
Cl: 0.0000 0.0000 0.7421  3 Zr 2.82, 3 Sc 2.86
Cl: 0.3333 0.6667 0.4088  3 Zr 2.82, 3 Sc 2.86
Cl: 0.6667 0.3333 0.0754  3 Zr 2.82, 3 Sc 2.86

***

Zr2ScCl: relaxed, PBE.

energy = -6.743 eV/atom
crystal system = tetragonal
density of states at the Fermi level = 3.94 states/eV per cell
E above lowest polymorph = 0.0519 eV/atom

Lattice parameters (Å, degrees): 3.1887 3.1887 9.6338 90.00 90.00 90.00
Closest atoms and distances in Å follow each position.
Fractional positions:
Zr: 0.0000 0.0000 0.0000  8 Zr 3.11-3.19, 4 Sc 3.26
Zr: 0.5000 0.5000 0.2221  8 Zr 3.11-3.19
Sc: 0.5000 0.5000 0.7555  4 Cl 2.73
Cl: 0.0000 0.0000 0.5964  4 Sc 2.73

***

SeCl: relaxed, PBE.

energy = -2.065 eV/atom
crystal system = trigonal
density of states at the Fermi level = 3.80 states/eV per cell

Lattice parameters (Å, degrees): 3.2145 3.2145 13.6522 90.00 90.00 120.00
Closest atoms and distances in Å follow each position.
Fractional positions:
Se: 0.0000 0.0000 0.0000  6 Cl 2.94, 6 Se 3.21
Se: 0.3333 0.6667 0.6667  6 Cl 2.94, 6 Se 3.21
Se: 0.6667 0.3333 0.3333  6 Cl 2.94, 6 Se 3.21
Cl: 0.0000 0.0000 0.5000  6 Se 2.94, 6 Cl 3.21
Cl: 0.3333 0.6667 0.1667  6 Se 2.94, 6 Cl 3.21
Cl: 0.6667 0.3333 0.8333  6 Se 2.94, 6 Cl 3.21

***

SeCl: relaxed, PBE.

energy = -2.026 eV/atom
crystal system = cubic
density of states at the Fermi level = 6.97 states/eV per cell

Lattice parameters (Å, degrees): 5.7220 5.7220 5.7220 90.00 90.00 90.00
Closest atoms and distances in Å follow each position.
Fractional positions:
Se: 0.0000 0.0000 0.0000  6 Cl 2.86
Se: 0.0000 0.5000 0.5000  6 Cl 2.86
Se: 0.5000 0.0000 0.5000  6 Cl 2.86
Se: 0.5000 0.5000 0.0000  6 Cl 2.86
Cl: 0.0000 0.0000 0.5000  6 Se 2.86
Cl: 0.0000 0.5000 0.0000  6 Se 2.86
Cl: 0.5000 0.0000 0.0000  6 Se 2.86
Cl: 0.5000 0.5000 0.5000  6 Se 2.86

***

SeCl3: relaxed, PBE.

energy = -1.844 eV/atom
crystal system = trigonal
density of states at the Fermi level = 8.65 states/eV per cell

Lattice parameters (Å, degrees): 3.5140 3.5140 26.5581 90.00 90.00 120.00
Closest atoms and distances in Å follow each position.
Fractional positions:
Se: 0.0000 0.0000 0.0000  6 Cl 2.91
Se: 0.3333 0.6667 0.6667  6 Cl 2.91
Se: 0.6667 0.3333 0.3333  6 Cl 2.91
Cl: 0.0000 0.0000 0.4120  1 Cl 2.34
Cl: 0.0000 0.0000 0.5000  2 Cl 2.34
Cl: 0.0000 0.0000 0.5880  1 Cl 2.34
Cl: 0.3333 0.6667 0.0787  1 Cl 2.34
Cl: 0.3333 0.6667 0.1667  2 Cl 2.34
Cl: 0.3333 0.6667 0.2547  1 Cl 2.34
Cl: 0.6667 0.3333 0.7453  1 Cl 2.34
Cl: 0.6667 0.3333 0.8333  2 Cl 2.34
Cl: 0.6667 0.3333 0.9213  1 Cl 2.34

***

SeCl: relaxed, PBE.

energy = -2.677 eV/atom
crystal system = tetragonal
density of states at the Fermi level = 11.97 states/eV per cell

Lattice parameters (Å, degrees): 12.6281 12.6281 3.0609 90.00 90.00 90.00
Closest atoms and distances in Å follow each position.
Fractional positions:
Se: 0.1014 0.8806 0.0000  1 Cl 2.24
Se: 0.1194 0.1014 0.0000  1 Cl 2.24
Se: 0.3806 0.3986 0.5000  1 Cl 2.24
Se: 0.3986 0.6194 0.5000  1 Cl 2.24
Se: 0.6014 0.3806 0.5000  1 Cl 2.24
Se: 0.6194 0.6014 0.5000  1 Cl 2.24
Se: 0.8806 0.8986 0.0000  1 Cl 2.24
Se: 0.8986 0.1194 0.0000  1 Cl 2.24
Cl: 0.0978 0.7031 0.0000  1 Se 2.24
Cl: 0.2031 0.4022 0.5000  1 Se 2.24
Cl: 0.2969 0.0978 0.0000  1 Se 2.24
Cl: 0.4022 0.7969 0.5000  1 Se 2.24
Cl: 0.5978 0.2031 0.5000  1 Se 2.24
Cl: 0.7031 0.9022 0.0000  1 Se 2.24
Cl: 0.7969 0.5978 0.5000  1 Se 2.24
Cl: 0.9022 0.2969 0.0000  1 Se 2.24

***

SeCl3: relaxed, PBE.

energy = -2.126 eV/atom
crystal system = orthorhombic
density of states at the Fermi level = 4.78 states/eV per cell

Lattice parameters (Å, degrees): 3.4155 7.0109 9.5226 90.00 90.00 90.00
Closest atoms and distances in Å follow each position.
Fractional positions:
Se: 0.0000 0.0000 0.0000  4 Cl 2.45
Se: 0.5000 0.5000 0.0000  4 Cl 2.45
Cl: 0.0000 0.0000 0.5000  6 Cl 3.42-3.46
Cl: 0.0000 0.5000 0.1843  2 Se 2.45
Cl: 0.0000 0.5000 0.8157  2 Se 2.45
Cl: 0.5000 0.0000 0.1843  2 Se 2.45
Cl: 0.5000 0.0000 0.8157  2 Se 2.45
Cl: 0.5000 0.5000 0.5000  6 Cl 3.42-3.46

***

SeCl: relaxed, PBE.

energy = -2.692 eV/atom
crystal system = orthorhombic
density of states at the Fermi level = 3.44 states/eV per cell

Lattice parameters (Å, degrees): 5.7729 9.2854 5.3398 90.00 90.00 90.00
Closest atoms and distances in Å follow each position.
Fractional positions:
Se: 0.0000 0.0012 0.2500  1 Cl 2.18
Se: 0.0000 0.9988 0.7500  1 Cl 2.18
Se: 0.5000 0.4988 0.7500  1 Cl 2.18
Se: 0.5000 0.5012 0.2500  1 Cl 2.18
Cl: 0.0000 0.2359 0.2500  1 Se 2.18
Cl: 0.0000 0.7641 0.7500  1 Se 2.18
Cl: 0.5000 0.2641 0.7500  1 Se 2.18
Cl: 0.5000 0.7359 0.2500  1 Se 2.18

***

SeCl3: relaxed, PBE.

energy = -1.922 eV/atom
crystal system = trigonal
density of states at the Fermi level = 6.04 states/eV per cell

Lattice parameters (Å, degrees): 4.1099 4.1099 19.3944 90.00 90.00 120.00
Closest atoms and distances in Å follow each position.
Fractional positions:
Se: 0.0000 0.0000 0.0000  6 Cl 2.67
Se: 0.3333 0.6667 0.6667  6 Cl 2.67
Se: 0.6667 0.3333 0.3333  6 Cl 2.67
Cl: 0.0000 0.0000 0.2705  3 Se 2.67
Cl: 0.0000 0.0000 0.5000  6 Cl 3.11
Cl: 0.0000 0.0000 0.7295  3 Se 2.67
Cl: 0.3333 0.6667 0.1667  6 Cl 3.11
Cl: 0.3333 0.6667 0.3962  3 Se 2.67
Cl: 0.3333 0.6667 0.9372  3 Se 2.67
Cl: 0.6667 0.3333 0.0628  3 Se 2.67
Cl: 0.6667 0.3333 0.6038  3 Se 2.67
Cl: 0.6667 0.3333 0.8333  6 Cl 3.11

***

SeCl: relaxed, PBE.

energy = -2.664 eV/atom
crystal system = orthorhombic
density of states at the Fermi level = 1.33 states/eV per cell

Lattice parameters (Å, degrees): 4.1339 4.2390 7.2036 90.00 90.00 90.00
Closest atoms and distances in Å follow each position.
Fractional positions:
Se: 0.2500 0.2500 0.0087  1 Cl 2.18
Se: 0.7500 0.7500 0.9913  1 Cl 2.18
Cl: 0.2500 0.2500 0.7059  1 Se 2.18
Cl: 0.7500 0.7500 0.2941  1 Se 2.18

***

SeCl: relaxed, PBE.

energy = -2.825 eV/atom
crystal system = orthorhombic
density of states at the Fermi level = 0.00 states/eV per cell

Lattice parameters (Å, degrees): 13.7589 13.6320 4.9205 81.11 78.20 20.69
Closest atoms and distances in Å follow each position.
Fractional positions:
Se: 0.0495 0.7005 0.7005  1 Se 2.25
Se: 0.2995 0.9505 0.9505  1 Se 2.25
Se: 0.7005 0.0495 0.0495  1 Se 2.25
Se: 0.9505 0.2995 0.2995  1 Se 2.25
Cl: 0.1883 0.1883 0.5617  2 Se 2.55
Cl: 0.4383 0.4383 0.8117  2 Se 2.55
Cl: 0.5617 0.5617 0.1883  2 Se 2.55
Cl: 0.8117 0.8117 0.4383  2 Se 2.55

***

SeCl3: relaxed, PBE.

energy = -1.989 eV/atom
crystal system = tetragonal
density of states at the Fermi level = 61.24 states/eV per cell

Lattice parameters (Å, degrees): 7.7676 7.7676 11.6673 90.00 90.00 90.00
Closest atoms and distances in Å follow each position.
Fractional positions:
Se: 0.0000 0.2500 0.3750  4 Cl 2.43
Se: 0.0000 0.7500 0.6250  4 Cl 2.43
Se: 0.5000 0.2500 0.1250  4 Cl 2.43
Se: 0.5000 0.7500 0.8750  4 Cl 2.43
Cl: 0.0000 0.0000 0.5000  2 Se 2.43
Cl: 0.0000 0.2500 0.8750  16 Cl 4.58-4.86, 4 Se 4.86
Cl: 0.0000 0.5000 0.5000  2 Se 2.43
Cl: 0.0000 0.7500 0.1250  16 Cl 4.58-4.86, 4 Se 4.86
Cl: 0.2500 0.2500 0.2500  2 Se 2.43
Cl: 0.2500 0.7500 0.7500  2 Se 2.43
Cl: 0.5000 0.0000 0.0000  2 Se 2.43
Cl: 0.5000 0.2500 0.6250  16 Cl 4.58-4.86, 4 Se 4.86
Cl: 0.5000 0.5000 0.0000  2 Se 2.43
Cl: 0.5000 0.7500 0.3750  16 Cl 4.58-4.86, 4 Se 4.86
Cl: 0.7500 0.2500 0.2500  2 Se 2.43
Cl: 0.7500 0.7500 0.7500  2 Se 2.43

***

SeCl: relaxed, PBE.

energy = -1.781 eV/atom
crystal system = cubic
density of states at the Fermi level = 11.51 states/eV per cell

Lattice parameters (Å, degrees): 6.4128 6.4128 6.4128 90.00 90.00 90.00
Closest atoms and distances in Å follow each position.
Fractional positions:
Se: 0.0000 0.0000 0.0000  4 Cl 2.78
Se: 0.0000 0.5000 0.5000  4 Cl 2.78
Se: 0.5000 0.0000 0.5000  4 Cl 2.78
Se: 0.5000 0.5000 0.0000  4 Cl 2.78
Cl: 0.2500 0.2500 0.2500  4 Se 2.78
Cl: 0.2500 0.7500 0.7500  4 Se 2.78
Cl: 0.7500 0.2500 0.7500  4 Se 2.78
Cl: 0.7500 0.7500 0.2500  4 Se 2.78

***

SeCl: relaxed, PBE.

energy = -2.673 eV/atom
crystal system = monoclinic
density of states at the Fermi level = 1.94 states/eV per cell

Lattice parameters (Å, degrees): 13.0701 3.6237 5.8701 90.00 104.06 90.00
Closest atoms and distances in Å follow each position.
Fractional positions:
Se: 0.1836 0.0000 0.0308  1 Cl 2.28
Se: 0.3164 0.5000 0.9692  1 Cl 2.28
Se: 0.6836 0.5000 0.0308  1 Cl 2.28
Se: 0.8164 0.0000 0.9692  1 Cl 2.28
Cl: 0.0924 0.0000 0.3171  1 Se 2.28
Cl: 0.4076 0.5000 0.6829  1 Se 2.28
Cl: 0.5924 0.5000 0.3171  1 Se 2.28
Cl: 0.9076 0.0000 0.6829  1 Se 2.28

***

Se5Cl3: relaxed, PBE.

energy = -3.001 eV/atom
crystal system = triclinic

Lattice parameters (Å, degrees): 8.4279 8.7181 9.8664 97.14 95.91 107.66
Closest atoms and distances in Å follow each position.
Fractional positions:
Se: 0.0000 0.0000 0.0000  2 Se 2.30-2.44
Se: 0.0053 0.4265 0.0548  2 Se 2.27-2.51
Se: 0.0663 0.9724 0.6313  2 Se 2.30-2.44
Se: 0.1413 0.8885 0.8496  2 Se 2.30-2.44
Se: 0.1836 0.2790 0.0840  2 Se 2.27-2.44
Se: 0.2510 0.7515 0.4279  2 Se 2.34-2.45
Se: 0.3165 0.0344 0.5429  2 Se 2.30-2.45
Se: 0.4676 0.7227 0.3060  1 Cl 2.34, 1 Se 2.34
Se: 0.4752 0.6010 0.5460  2 Cl 2.20-2.31
Se: 0.8604 0.4199 0.2645  3 Cl 2.21-2.41
Cl: 0.0381 0.3124 0.3953  1 Se 2.35
Cl: 0.4092 0.8218 0.1035  1 Se 2.34
Cl: 0.6113 0.8139 0.7044  1 Se 2.20
Cl: 0.6479 0.4419 0.5712  1 Se 2.31
Cl: 0.6553 0.1850 0.2053  1 Se 2.21
Cl: 0.7224 0.5731 0.1349  1 Se 2.41

***

SeCl: relaxed, PBE.

energy = -2.523 eV/atom
crystal system = orthorhombic
density of states at the Fermi level = 1.57 states/eV per cell

Lattice parameters (Å, degrees): 3.1162 4.5212 8.5653 90.00 90.00 90.00
Closest atoms and distances in Å follow each position.
Fractional positions:
Se: 0.2500 0.2500 0.1958  2 Cl 2.39
Se: 0.7500 0.7500 0.8042  2 Cl 2.39
Cl: 0.2500 0.7500 0.2872  2 Se 2.39
Cl: 0.7500 0.2500 0.7128  2 Se 2.39

***

SeCl3: relaxed, PBE.

energy = -1.793 eV/atom
crystal system = tetragonal
density of states at the Fermi level = 6.82 states/eV per cell

Lattice parameters (Å, degrees): 4.0444 4.0444 25.8936 90.00 90.00 90.00
Closest atoms and distances in Å follow each position.
Fractional positions:
Se: 0.0000 0.0000 0.0659  4 Cl 2.65
Se: 0.0000 0.0000 0.9341  4 Cl 2.65
Se: 0.5000 0.5000 0.4341  4 Cl 2.65
Se: 0.5000 0.5000 0.5659  4 Cl 2.65
Cl: 0.0000 0.0000 0.3973  4 Se 3.01, 4 Cl 3.34
Cl: 0.0000 0.0000 0.6027  4 Se 3.01, 4 Cl 3.34
Cl: 0.0000 0.5000 0.0000  4 Se 2.65, 4 Cl 2.86
Cl: 0.0000 0.5000 0.2500  4 Cl 2.86
Cl: 0.0000 0.5000 0.5000  4 Se 2.65, 4 Cl 2.86
Cl: 0.0000 0.5000 0.7500  4 Cl 2.86
Cl: 0.5000 0.0000 0.0000  4 Se 2.65, 4 Cl 2.86
Cl: 0.5000 0.0000 0.2500  4 Cl 2.86
Cl: 0.5000 0.0000 0.5000  4 Se 2.65, 4 Cl 2.86
Cl: 0.5000 0.0000 0.7500  4 Cl 2.86
Cl: 0.5000 0.5000 0.1027  4 Se 3.01, 4 Cl 3.34
Cl: 0.5000 0.5000 0.8973  4 Se 3.01, 4 Cl 3.34

***

SeCl: relaxed, PBE.

energy = -2.734 eV/atom
crystal system = orthorhombic
density of states at the Fermi level = 6.79 states/eV per cell

Lattice parameters (Å, degrees): 8.3735 5.7180 11.5164 90.00 90.00 90.00
Closest atoms and distances in Å follow each position.
Fractional positions:
Se: 0.0000 0.0195 0.0000  2 Se 2.38
Se: 0.2393 0.0009 0.1114  1 Cl 2.19, 1 Se 2.38
Se: 0.2607 0.9991 0.6114  1 Cl 2.19, 1 Se 2.38
Se: 0.5000 0.9805 0.5000  2 Se 2.38
Se: 0.7393 0.9991 0.6114  1 Cl 2.19, 1 Se 2.38
Se: 0.7607 0.0009 0.1114  1 Cl 2.19, 1 Se 2.38
Cl: 0.0000 0.8784 0.7455  3 Se 2.76-3.04
Cl: 0.2427 0.6401 0.1751  1 Se 2.19
Cl: 0.2573 0.3599 0.6751  1 Se 2.19
Cl: 0.5000 0.1216 0.2455  3 Se 2.76-3.04
Cl: 0.7427 0.3599 0.6751  1 Se 2.19
Cl: 0.7573 0.6401 0.1751  1 Se 2.19

***

SeCl: relaxed, PBE.

energy = -2.007 eV/atom
crystal system = tetragonal
density of states at the Fermi level = 1.66 states/eV per cell

Lattice parameters (Å, degrees): 3.0836 3.0836 4.2542 90.00 90.00 90.00
Closest atoms and distances in Å follow each position.
Fractional positions:
Se: 0.0000 0.0000 0.0000  8 Cl 3.05, 4 Se 3.08
Cl: 0.5000 0.5000 0.5000  8 Se 3.05, 4 Cl 3.08

***

In order of appearance, energy relative to the elements, uncorrected = -72; -184; -164; 116; 123; 159; -2; 50; -5; 129; 0; -31; 103; 171; -2; -101; 28; 179; -13; 127 kJ/mol of formula units.
In order of appearance, calculated density = 5.12; 4.99; 4.46; 4.67; 4.06; 3.25; 3.11; 2.70; 2.66; 3.25; 3.01; 2.39; 1.75; 2.88; 2.82; 2.46; 3.15; 2.91; 2.07; 4.70 g cm⁻³.